No. 1
A relaxed structure of FeCu2Pd. Source: Alexandria via LeMat-Bulk, functional GGA-PBE.

Geometry as CIF:
```
data_FeCu2Pd
_chemical_formula_sum 'Fe1 Cu2 Pd1'
_cell_length_a 2.662
_cell_length_b 2.662
_cell_length_c 7.300
_cell_angle_alpha 90.00
_cell_angle_beta 90.00
_cell_angle_gamma 90.00
_symmetry_space_group_name_H-M 'P 4/m m m'
_symmetry_Int_Tables_number 123
_symmetry_space_group_name_Hall '-P 4 2'
loop_
_atom_site_label
_atom_site_type_symbol
_atom_site_fract_x
_atom_site_fract_y
_atom_site_fract_z
Fe1 Fe 0.000 0.000 0.000
Cu1 Cu 0.500 0.500 0.240
Pd1 Pd 0.000 0.000 0.500
```

Values from the calculation:
ΔE_f = 0.04 eV per atom
Crystal system = tetragonal



No. 2
A relaxed structure of MnPbBr6. Source: Alexandria via LeMat-Bulk, functional GGA-PBE.

Geometry as CIF:
```
data_MnPbBr6
_chemical_formula_sum 'Mn3 Pb3 Br18'
_cell_length_a 6.7845
_cell_length_b 6.7845
_cell_length_c 18.6853
_cell_angle_alpha 90.00
_cell_angle_beta 90.00
_cell_angle_gamma 120.00
_symmetry_space_group_name_H-M 'R -3'
_symmetry_Int_Tables_number 148
_symmetry_space_group_name_Hall '-R 3'
loop_
_atom_site_label
_atom_site_type_symbol
_atom_site_fract_x
_atom_site_fract_y
_atom_site_fract_z
Mn1 Mn 0.0000 0.0000 0.0000
Pb1 Pb 0.0000 0.0000 0.5000
Br1 Br 0.0198 0.6337 0.5914
```

Values from the calculation:
Crystal system = trigonal
Energy relative to the elements, uncorrected = -611 meV per atom



no.,ΔE to the lowest computed polymorph (meV/atom),total energy (eV/cell)
1,0,-21.689
2,29,-83.421